Density functional theory data (GGA-PBE) for a relaxed LiZn2Cd2 crystal.

Output
Final energy   -6.08 eV per cell
Offset from the most stable computed form   127 meV/atom
Energy of formation   0.043 eV/atom
Calculated density   5.50 g cm⁻³
Symmetry   I4/mmm (139)

a b c (Å): 4.3039 4.3039 6.6463
angles (deg): 71.11 71.11 90.00
Sites, in units of the cell vectors:
1 Cd 0.7500 0.2500 0.5000
2 Cd 0.2500 0.7500 0.5000
3 Zn 0.3991 0.3991 0.2018
4 Zn 0.6009 0.6009 0.7982
5 Li 0.0000 0.0000 0.0000